1:
LaBe2Co | PBE | optimized geometry

a = 5.4700 Å, b = 5.4700 Å, c = 5.4700 Å
α = 41.17°, β = 41.17°, γ = 41.17°
With the nearest neighbours (Å) after each atom.
Element x y z (fractional)
Be 0.9361 0.9361 0.9361  3 Be 2.25, 3 Co 2.29
Be 0.2469 0.2469 0.2469  3 Co 2.23, 3 Be 2.25
La 0.7511 0.7511 0.7511  1 Be 2.77, 1 Co 2.78
Co 0.5659 0.5659 0.5659  6 Be 2.23-2.29

Symmetry   R3m

=====

2:
LaBe2Co | PBE | optimized geometry

a = 3.5386 Å, b = 2.8833 Å, c = 6.1144 Å
α = 76.51°, β = 90.00°, γ = 90.00°
With the nearest neighbours (Å) after each atom.
Element x y z (fractional)
Co 0.0000 0.5104 0.3559  6 Be 2.13-2.32
La 0.5000 0.8011 0.7692  2 La 2.88, 5 Be 2.89-2.98
Be 0.5000 0.0473 0.2838  2 Be 2.11, 4 Co 2.32
Be 0.0000 0.1412 0.0910  2 Be 2.11, 2 Co 2.13-2.14

Symmetry   Pm

=====

Most stable structure, least stable structure: 1, 2.

=====

1:
LaBe2Co | PBE | optimized geometry

a = 5.9252 Å, b = 4.5227 Å, c = 3.3388 Å
α = 90.01°, β = 55.69°, γ = 116.55°
With the nearest neighbours (Å) after each atom.
Element x y z (fractional)
La 0.5000 0.5000 0.0000  2 Co 2.45
Be 0.0000 0.0000 0.0000  2 Be 2.45
Be 0.5000 0.0000 0.5000  2 Be 2.45
Co 0.0000 0.5000 0.5000  2 La 2.45

Symmetry   Cmmm

=====

2:
LaBe2Co | PBE | optimized geometry

a = 3.8571 Å, b = 3.8571 Å, c = 5.1258 Å
α = 77.13°, β = 77.13°, γ = 61.32°
With the nearest neighbours (Å) after each atom.
Element x y z (fractional)
Co 0.6005 0.6005 0.2828  6 Be 2.23-2.27
Be 0.2720 0.2720 0.2488  3 Be 2.18-2.28, 3 Co 2.23-2.26
Be 0.9506 0.9506 0.2185  3 Be 2.18-2.28, 3 Co 2.26-2.27
La 0.6769 0.6769 0.7500  2 Co 2.57-2.65, 1 Be 2.86

Symmetry   Cm

=====

Most stable structure, least stable structure: 2, 1.